[1]
AlCrBr3 (PBE, relaxed); crystal system = cubic; energy above the most stable polymorph in this dataset = 0.000 eV/atom; energy relative to the elements, uncorrected = -340 meV per atom; spin magnetization = 4.0 μB per cell; SG = No. 221
1.0
5.212 0.000 0.000
0.000 5.212 0.000
0.000 0.000 5.212
Al Cr Br
1 1 3
Direct
0.000 0.000 0.000
0.500 0.500 0.500
0.000 0.500 0.500
0.500 0.000 0.500
0.500 0.500 0.000

[2]
AlCrBr2 (PBE, relaxed); crystal system = trigonal; energy above the most stable polymorph in this dataset = 0.336 eV/atom; energy relative to the elements, uncorrected = 113 meV per atom; spin magnetization = 5.0 μB per cell; SG = No. 166
1.0
2.090 1.207 8.863
-2.090 1.207 8.863
0.000 -2.413 8.863
Al Cr Br
1 1 2
Direct
0.000 0.000 0.000
0.500 0.500 0.500
0.407 0.407 0.407
0.593 0.593 0.593

[3]
Al2Cr2Br (PBE, relaxed); crystal system = tetragonal; energy above the most stable polymorph in this dataset = 0.000 eV/atom; energy relative to the elements, uncorrected = 348 meV per atom; spin magnetization = 0.0 μB per cell; SG = No. 127
1.0
7.266 0.000 0.000
0.000 7.266 0.000
0.000 0.000 3.067
Al Cr Br
4 4 2
Direct
0.184 0.316 0.000
0.316 0.816 0.000
0.684 0.184 0.000
0.816 0.684 0.000
0.099 0.599 0.500
0.401 0.099 0.500
0.599 0.901 0.500
0.901 0.401 0.500
0.000 0.000 0.500
0.500 0.500 0.500